[1]
{
  "formula": "Sc2Sn2Bi",
  "functional": "PBE",
  "state": "relaxed",
  "e_tot_ev_per_atom": -5.272,
  "delta_e_f_mev_per_atom": -362,
  "space_group": "P4/mbm",
  "e_above_lowest_polymorph_kj_per_mol_atoms": 7.5,
  "magmom_total_mub_per_fu": 0.23,
  "lattice_angstrom": [[8.8137, 0.0000, 0.0000], [0.0000, 8.8137, 0.0000], [0.0000, 0.0000, 3.3200]],
  "species": ["Sc", "Sc", "Sc", "Sc", "Bi", "Bi", "Sn", "Sn", "Sn", "Sn"],
  "frac_coords": [[0.1361, 0.6361, 0.5000], [0.6361, 0.8639, 0.5000], [0.8639, 0.3639, 0.5000], [0.3639, 0.1361, 0.5000], [0.0000, 0.0000, 0.0000], [0.5000, 0.5000, 0.0000], [0.3402, 0.8402, 0.0000], [0.8402, 0.6598, 0.0000], [0.6598, 0.1598, 0.0000], [0.1598, 0.3402, 0.0000]]
}



[2]
{
  "formula": "Nd2In3Pd4",
  "functional": "PBE",
  "state": "relaxed",
  "e_tot_ev_per_atom": -4.968,
  "delta_e_f_mev_per_atom": -688,
  "space_group": "Cmce",
  "magmom_total_mub_per_fu": 0.00,
  "lattice_angstrom": [[-3.6937, -2.9013, 3.8362], [-0.4588, -5.7869, -4.8182], [8.5561, -2.1762, 1.7990]],
  "species": ["Nd", "Nd", "Nd", "Nd", "In", "In", "In", "In", "In", "In", "Pd", "Pd", "Pd", "Pd", "Pd", "Pd", "Pd", "Pd"],
  "frac_coords": [[0.1042, 0.5832, 0.2084], [0.8958, 0.4168, 0.7916], [0.3958, 0.0832, 0.7916], [0.6042, 0.9168, 0.2084], [0.0000, 0.0000, 0.0000], [0.5000, 0.5000, 0.0000], [0.5139, 0.7500, 0.5278], [0.9861, 0.2500, 0.4722], [0.4861, 0.2500, 0.4722], [0.0139, 0.7500, 0.5278], [0.6787, 0.7500, 0.8575], [0.8213, 0.2500, 0.1425], [0.3213, 0.2500, 0.1425], [0.1787, 0.7500, 0.8575], [0.1664, 0.9777, 0.3327], [0.8336, 0.0223, 0.6673], [0.3336, 0.4777, 0.6673], [0.6664, 0.5223, 0.3327]]
}



[3]
{
  "formula": "InCoPt2",
  "functional": "PBE",
  "state": "relaxed",
  "e_tot_ev_per_atom": -5.639,
  "delta_e_f_mev_per_atom": -158,
  "space_group": "I-4m2",
  "magmom_total_mub_per_fu": 1.87,
  "lattice_angstrom": [[-2.4929, 3.3430, -2.4350], [-1.5294, -1.9722, -4.1341], [-0.3691, -1.5267, 4.5664]],
  "species": ["Co", "In", "Pt", "Pt"],
  "frac_coords": [[0.5000, 0.5000, 0.0000], [0.7500, 0.2500, 0.5000], [0.0000, 0.0000, 0.0000], [0.2500, 0.7500, 0.5000]]
}